Entry 1:
The following is a DFT calculation (PBE-GGA) of crystalline CoRe2Pt at its relaxed geometry.

Output
Total moment in μB/cell: 0.0
Energy above the most stable polymorph in this dataset in meV/atom: 622
SG: No. 122

abc: 5.5076 5.5076 5.5076
angles: 102.33 102.33 124.96
Sites, in units of the cell vectors:
Co (0.0000, 0.0000, 0.0000)
Co (0.7500, 0.2500, 0.5000)
Re (0.0766, 0.6250, 0.9516)
Re (0.3750, 0.3266, 0.4516)
Re (0.6734, 0.1250, 0.0484)
Re (0.8750, 0.9234, 0.5484)
Pt (0.2500, 0.7500, 0.5000)
Pt (0.5000, 0.5000, 0.0000)

Entry 2:
The following is a DFT calculation (PBE-GGA) of crystalline CoRe2Pt at its relaxed geometry.

Output
Total moment in μB/cell: 0.9
Energy above the most stable polymorph in this dataset in meV/atom: 16
SG: No. 47

abc: 2.6888 3.8723 5.4224
angles: 90.00 90.00 90.00
Sites, in units of the cell vectors:
Co (0.0000, 0.0000, 0.0000)
Re (0.5000, 0.5000, 0.2234)
Re (0.5000, 0.5000, 0.7766)
Pt (0.0000, 0.0000, 0.5000)

Entry 3:
The following is a DFT calculation (PBE-GGA) of crystalline CoRe2Pt at its relaxed geometry.

Output
Total moment in μB/cell: 0.4
Energy above the most stable polymorph in this dataset in meV/atom: 133
SG: No. 99

abc: 3.1647 3.1647 5.6610
angles: 90.00 90.00 90.00
Sites, in units of the cell vectors:
Co (0.0000, 0.0000, 0.0000)
Re (0.0000, 0.0000, 0.5318)
Re (0.5000, 0.5000, 0.7896)
Pt (0.5000, 0.5000, 0.2457)

Entry 4:
The following is a DFT calculation (PBE-GGA) of crystalline CoRePt2 at its relaxed geometry.

Output
Total moment in μB/cell: 0.7
Energy above the most stable polymorph in this dataset in meV/atom: 386
SG: No. 225

abc: 4.3594 4.3594 4.3594
angles: 60.00 60.00 60.00
Sites, in units of the cell vectors:
Co (0.0000, 0.0000, 0.0000)
Re (0.5000, 0.5000, 0.5000)
Pt (0.2500, 0.2500, 0.2500)
Pt (0.7500, 0.7500, 0.7500)

Entry 5:
The following is a DFT calculation (PBE-GGA) of crystalline CoRe2Pt at its relaxed geometry.

Output
Total moment in μB/cell: 0.5
Energy above the most stable polymorph in this dataset in meV/atom: 112
SG: No. 166

abc: 8.9093 8.9093 8.9093
angles: 17.59 17.59 17.59
Sites, in units of the cell vectors:
Co (0.0000, 0.0000, 0.0000)
Re (0.2549, 0.2549, 0.2549)
Re (0.7451, 0.7451, 0.7451)
Pt (0.5000, 0.5000, 0.5000)

Entry 6:
The following is a DFT calculation (PBE-GGA) of crystalline CoRePt2 at its relaxed geometry.

Output
Total moment in μB/cell: 2.2
Energy above the most stable polymorph in this dataset in meV/atom: 36
SG: No. 25

abc: 2.7054 4.4153 4.8214
angles: 90.00 90.00 90.00
Sites, in units of the cell vectors:
Co (0.0000, 0.0000, 0.0000)
Re (0.0000, 0.5000, 0.3128)
Pt (0.5000, 0.0000, 0.4865)
Pt (0.5000, 0.5000, 0.8289)

Entry 7:
The following is a DFT calculation (PBE-GGA) of crystalline CoRePt at its relaxed geometry.

Output
Total moment in μB/cell: 1.3
Energy above the most stable polymorph in this dataset in meV/atom: 0
SG: No. 11

abc: 4.6399 4.3472 4.6424
angles: 90.00 119.08 90.00
Sites, in units of the cell vectors:
Co (0.1570, 0.2500, 0.4947)
Co (0.8430, 0.7500, 0.5053)
Re (0.1546, 0.7500, 0.1718)
Re (0.8454, 0.2500, 0.8282)
Pt (0.4909, 0.7500, 0.8213)
Pt (0.5091, 0.2500, 0.1787)

Entry 8:
The following is a DFT calculation (PBE-GGA) of crystalline CoRe2Pt at its relaxed geometry.

Output
Total moment in μB/cell: 0.8
Energy above the most stable polymorph in this dataset in meV/atom: 34
SG: No. 123

abc: 2.6761 2.6761 7.7823
angles: 90.00 90.00 90.00
Sites, in units of the cell vectors:
Co (0.0000, 0.0000, 0.0000)
Re (0.5000, 0.5000, 0.2312)
Re (0.5000, 0.5000, 0.7688)
Pt (0.0000, 0.0000, 0.5000)

Which of these has the lowest energy above the most stable polymorph in this dataset? CoRePt

Repeat the third record exactly.
The following is a DFT calculation (PBE-GGA) of crystalline CoRe2Pt at its relaxed geometry.

Output
Total moment in μB/cell: 0.4
Energy above the most stable polymorph in this dataset in meV/atom: 133
SG: No. 99

abc: 3.1647 3.1647 5.6610
angles: 90.00 90.00 90.00
Sites, in units of the cell vectors:
Co (0.0000, 0.0000, 0.0000)
Re (0.0000, 0.0000, 0.5318)
Re (0.5000, 0.5000, 0.7896)
Pt (0.5000, 0.5000, 0.2457)

Number 5 is which compound? CoRe2Pt